46
Lattice="9.957 -2.654 0.000 9.957 2.654 0.000 -9.461 0.000 13.422" Properties=species:S:1:pos:R:3 comment="Ni5Te4Cl2O12 (GGA+U, relaxed)" dft_energy_ev_per_cell=-225.43 space_group="No. 15" total_magnetization_mub_per_cell=20.2 pbc="T T T"
Ni 3.172 1.510 7.068
Ni 6.197 1.496 5.089
Ni 8.988 1.496 1.622
Ni 2.862 1.376 10.067
Ni 2.551 1.510 13.065
Ni 7.903 -1.510 0.357
Ni 7.592 -1.376 3.356
Ni 1.466 -1.496 11.800
Ni 4.258 -1.496 8.333
Ni 7.282 -1.510 6.354
Te 5.884 1.118 1.610
Te -0.689 0.958 11.566
Te 9.301 1.118 5.101
Te 6.412 0.958 8.567
Te 4.042 -0.958 4.855
Te 1.153 -1.118 8.321
Te 11.143 -0.958 1.856
Te 4.571 -1.118 11.812
Cl 1.410 0.947 5.465
Cl -3.320 -0.947 12.176
Cl 13.774 0.947 1.247
Cl 9.044 -0.947 7.958
O -1.237 1.879 13.148
O -6.557 0.057 11.484
O -1.826 -0.057 4.773
O 1.056 1.777 11.500
O 4.667 1.777 8.633
O 5.288 0.861 3.356
O 6.961 1.879 6.985
O 4.483 0.641 5.781
O 2.705 0.041 8.470
O 7.436 -0.041 1.759
O 10.701 0.641 0.930
O 9.896 0.861 3.355
O 0.558 -0.861 10.067
O -0.247 -0.641 12.492
O 3.019 0.041 11.663
O 7.749 -0.041 4.952
O 5.971 -0.641 7.641
O 3.494 -1.879 6.437
O 5.166 -0.861 10.066
O 5.787 -1.777 4.789
O 9.398 -1.777 1.922
O 12.280 0.057 8.649
O 17.011 -0.057 1.938
O 11.691 -1.879 0.274